No. 1
Computed, not measured: a geometry-optimized CsMnSbTe2 structure at the PBE level of DFT.

abc: 5.5984 5.5984 5.2288
angles: 90.00 90.00 90.00
Closest atoms and distances in Å follow each position.
Space group P4/mmm (No. 123)
Unique sites:
Cs: 0.0000 0.0000 0.0000 (multiplicity 1)  8 Te 3.83, 4 Sb 3.96
Mn: 0.5000 0.5000 0.5000 (multiplicity 1)  2 Sb 2.61, 4 Te 2.80
Sb: 0.5000 0.5000 0.0000 (multiplicity 1)  2 Mn 2.61
Te: 0.0000 0.5000 0.5000 (multiplicity 2)  2 Mn 2.80

Formation energy (no corrections) ... -0.15 eV per atom
Relative energy among the computed polymorphs ... 0 meV/atom
Energy ... -4.238 eV per atom
N(E_F) ... 0.805 states/eV/atom

***

No. 2
Computed, not measured: a geometry-optimized TlCo2AuS structure at the PBE level of DFT.

abc: 4.8803 4.8803 4.8909
angles: 90.00 90.00 90.00
Closest atoms and distances in Å follow each position.
Space group P4/mmm (No. 123)
Unique sites:
Tl: 0.0000 0.0000 0.0000 (multiplicity 1)  4 S 3.45, 8 Co 3.45
Co: 0.0000 0.5000 0.5000 (multiplicity 2)  2 Au 2.44
Au: 0.5000 0.5000 0.5000 (multiplicity 1)  4 Co 2.44, 2 S 2.45
S: 0.5000 0.5000 0.0000 (multiplicity 1)  2 Au 2.45

Formation energy (no corrections) ... 0.99 eV per atom
Energy ... -3.802 eV per atom
N(E_F) ... 1.061 states/eV/atom

***

No. 3
Computed, not measured: a geometry-optimized TlCdGaPb2 structure at the PBE level of DFT.

abc: 5.9147 5.9147 5.4655
angles: 90.00 90.00 90.00
Closest atoms and distances in Å follow each position.
Space group P4/mmm (No. 123)
Unique sites:
Tl: 0.0000 0.0000 0.0000 (multiplicity 1)  2 Cd 2.73, 4 Pb 2.96
Cd: 0.0000 0.0000 0.5000 (multiplicity 1)  2 Tl 2.73
Ga: 0.5000 0.5000 0.5000 (multiplicity 1)  8 Pb 4.03, 4 Cd 4.18
Pb: 0.0000 0.5000 0.0000 (multiplicity 2)  2 Tl 2.96

Energy ... -2.132 eV per atom
Energy of formation from the pure elements ... 612.5 meV/atom
N(E_F) ... 0.652 states/eV/atom

***

No. 4
Computed, not measured: a geometry-optimized Pm8Ga3IrI4 structure at the PBE level of DFT.

abc: 14.9779 8.6374 9.1827
angles: 90.00 122.95 90.00
Closest atoms and distances in Å follow each position.
Space group C2/m (No. 12)
Unique sites:
Pm: 0.0141 0.2392 0.3031 (multiplicity 8)  1 Ir 2.83, 2 Ga 2.97
Pm: 0.2254 0.0000 0.6974 (multiplicity 4)  1 Ir 2.83, 2 Ga 2.97
Pm: 0.2381 0.5000 0.7145 (multiplicity 4)  3 Ga 2.99, 3 I 3.33
Ga: 0.0000 0.5000 0.5000 (multiplicity 2)  6 Pm 2.97-2.99
Ga: 0.2500 0.2500 0.5000 (multiplicity 4)  6 Pm 2.97-2.99
Ir: 0.0000 0.0000 0.5000 (multiplicity 2)  6 Pm 2.83
I: 0.0000 0.0000 0.0000 (multiplicity 2)  6 Pm 3.33-3.38
I: 0.0000 0.5000 0.0000 (multiplicity 2)  6 Pm 3.49-3.50
I: 0.2500 0.2500 0.0000 (multiplicity 4)  6 Pm 3.33-3.38

Formation energy (no corrections) ... -0.79 eV per atom
Energy ... -4.670 eV per atom
N(E_F) ... 0.896 states/eV/atom

***

No. 5
Computed, not measured: a geometry-optimized InRuAu2 structure at the PBE level of DFT.

abc: 3.9038 3.9038 20.1584
angles: 90.00 90.00 90.00
Closest atoms and distances in Å follow each position.
Space group I-42d (No. 122)
Unique sites:
In: 0.0000 0.0000 0.0000 (multiplicity 4)  4 Ru 2.76, 4 Au 2.88
Ru: 0.0000 0.0000 0.5000 (multiplicity 4)  4 In 2.76, 4 Au 2.87
Au: 0.2442 0.2500 0.6250 (multiplicity 8)  4 Au 2.73-2.79, 2 Ru 2.87, 2 In 2.88

Energy ... -4.307 eV per atom
Energy of formation from the pure elements ... 335.5 meV/atom
N(E_F) ... 0.710 states/eV/atom

***

No. 6
Computed, not measured: a geometry-optimized Ba9In4 structure at the PBE level of DFT.

abc: 14.1649 14.1649 6.0005
angles: 90.00 90.00 90.00
Closest atoms and distances in Å follow each position.
Space group I4/m (No. 87)
Unique sites:
Ba: 0.0000 0.0000 0.0000 (multiplicity 2)  4 In 3.65
Ba: 0.1102 0.8134 0.5000 (multiplicity 8)  3 In 3.72, 3 Ba 4.01-4.02
Ba: 0.1137 0.6250 0.0000 (multiplicity 8)  3 In 3.58-3.68, 1 Ba 4.01
In: 0.0988 0.2382 0.0000 (multiplicity 8)  7 Ba 3.58-3.72

Energy ... -2.456 eV per atom
Energy of formation from the pure elements ... -282.7 meV/atom
N(E_F) ... 1.660 states/eV/atom

***

No. 7
Computed, not measured: a geometry-optimized Li2Cu7Sb2Pd structure at the PBE level of DFT.

abc: 5.2042 5.2030 14.1538
angles: 90.00 100.25 90.00
Closest atoms and distances in Å follow each position.
Space group C2/m (No. 12)
Unique sites:
Li: 0.1722 0.0000 0.3589 (multiplicity 4)  1 Cu 2.47
Cu: 0.0000 0.0000 0.0000 (multiplicity 2)  4 Pd 2.60, 8 Cu 2.63-2.64
Cu: 0.1848 0.2500 0.8645 (multiplicity 8)  6 Cu 2.60-2.64, 2 Pd 2.63-2.64, 2 Sb 2.64
Cu: 0.2253 0.5000 0.4636 (multiplicity 4)  1 Li 2.47, 1 Sb 2.67, 1 Cu 2.72
Sb: 0.1315 0.5000 0.2717 (multiplicity 4)  5 Cu 2.64-2.67, 4 Li 2.86-2.88
Pd: 0.0000 0.5000 0.0000 (multiplicity 2)  12 Cu 2.60-2.64

Formation energy (no corrections) ... -0.02 eV per atom
Energy ... -3.846 eV per atom
N(E_F) ... 0.403 states/eV/atom

***

No. 8
Computed, not measured: a geometry-optimized Li3Cu2Pd2 structure at the PBE level of DFT.

abc: 8.1337 3.8627 6.1594
angles: 90.00 100.81 90.00
Closest atoms and distances in Å follow each position.
Space group C2/m (No. 12)
Unique sites:
Li: 0.0000 0.0000 0.0000 (multiplicity 2)  6 Cu 2.56-2.66, 2 Li 2.70, 4 Pd 2.71
Li: 0.1452 0.0000 0.4324 (multiplicity 4)  4 Li 2.61-2.70, 5 Pd 2.65-2.78, 3 Cu 2.70-2.82
Cu: 0.2201 0.5000 0.1324 (multiplicity 4)  6 Li 2.56-2.82, 4 Pd 2.60-2.67, 2 Cu 2.63
Pd: 0.0686 0.5000 0.7221 (multiplicity 4)  4 Cu 2.60-2.67, 7 Li 2.65-2.78, 1 Pd 2.75

Energy ... -3.746 eV per atom
Energy of formation from the pure elements ... -272.2 meV/atom
N(E_F) ... 0.279 states/eV/atom

***

- Which value of N(E_F) does entry 8 give?
  0.279 states/eV/atom

***

Repeat the fifth record exactly.
Computed, not measured: a geometry-optimized InRuAu2 structure at the PBE level of DFT.

abc: 3.9038 3.9038 20.1584
angles: 90.00 90.00 90.00
Closest atoms and distances in Å follow each position.
Space group I-42d (No. 122)
Unique sites:
In: 0.0000 0.0000 0.0000 (multiplicity 4)  4 Ru 2.76, 4 Au 2.88
Ru: 0.0000 0.0000 0.5000 (multiplicity 4)  4 In 2.76, 4 Au 2.87
Au: 0.2442 0.2500 0.6250 (multiplicity 8)  4 Au 2.73-2.79, 2 Ru 2.87, 2 In 2.88

Energy ... -4.307 eV per atom
Energy of formation from the pure elements ... 335.5 meV/atom
N(E_F) ... 0.710 states/eV/atom

***

- Look up the N(E_F) of the fifth one.
  0.710 states/eV/atom